1.
A PBEsol-optimized structure of PuAl5Zn2, computed with SCAN.

Cell lengths 4.2361, 4.2361, 8.0595 Å; angles 105.24, 105.24, 90.00 degrees
Last column: nearest neighbours and their distance in Å.
Atoms (fractional coordinates):
Zn: 0.7590 0.7590 0.5180  8 Al 2.63-2.80
Zn: 0.2410 0.2410 0.4820  8 Al 2.63-2.80
Al: 0.3635 0.8635 0.7271  4 Zn 2.63-2.80, 2 Pu 2.94, 2 Al 2.94
Al: 0.6365 0.1365 0.2729  4 Zn 2.63-2.80, 2 Pu 2.94, 2 Al 2.94
Al: 0.8635 0.3635 0.7271  4 Zn 2.63-2.80, 2 Al 2.94, 2 Pu 2.94
Al: 0.1365 0.6365 0.2729  4 Zn 2.63-2.80, 2 Al 2.94, 2 Pu 2.94
Al: 0.5000 0.5000 0.0000  8 Al 2.94, 4 Pu 3.00
Pu: 0.0000 0.0000 0.0000  12 Al 2.94-3.00

Results
Final energy ... -176.9 eV per formula unit
Energy relative to the elements ... -117.7 meV per atom
Spin magnetization ... 5.971 μB per formula unit
Fermi-level density of states ... 10.15 states/eV/f.u.
Calculated density ... 6.3 g cm⁻³

2.
A PBEsol-optimized structure of RbAlRe3, computed with SCAN.

Cell lengths 4.6488, 4.6488, 4.6488 Å; angles 90.00, 90.00, 90.00 degrees
Last column: nearest neighbours and their distance in Å.
Atoms (fractional coordinates):
Re: 0.0000 0.5000 0.0000  2 Al 2.32
Re: 0.0000 0.0000 0.5000  2 Al 2.32
Re: 0.5000 0.0000 0.0000  2 Al 2.32
Al: 0.0000 0.0000 0.0000  6 Re 2.32
Rb: 0.5000 0.5000 0.5000  12 Re 3.29

Results
Final energy ... -229.4 eV per formula unit
Energy relative to the elements ... 2480.9 meV per atom
Spin magnetization ... 0.000 μB per formula unit
Fermi-level density of states ... 6.25 states/eV/f.u.
Calculated density ... 11.1 g cm⁻³

3.
A PBEsol-optimized structure of Rb2AlReS, computed with SCAN.

Cell lengths 4.7536, 6.3017, 6.3017 Å; angles 90.00, 90.00, 90.00 degrees
Last column: nearest neighbours and their distance in Å.
Atoms (fractional coordinates):
Re: 0.5000 0.0000 0.0000  2 Al 2.38
S: 0.5000 0.5000 0.5000  8 Rb 3.95
Al: 0.0000 0.0000 0.0000  2 Re 2.38
Rb: 0.0000 0.0000 0.5000  2 Al 3.15
Rb: 0.0000 0.5000 0.0000  2 Al 3.15

Results
Final energy ... -124.9 eV per formula unit
Spin magnetization ... 3.340 μB per formula unit
Fermi-level density of states ... 1.06 states/eV/f.u.
Calculated density ... 3.7 g cm⁻³

4.
A PBEsol-optimized structure of Rb2AlRh, computed with SCAN.

Cell lengths 4.6483, 8.9892, 8.9892 Å; angles 86.17, 75.02, 75.02 degrees
Last column: nearest neighbours and their distance in Å.
Atoms (fractional coordinates):
Rh: 0.0000 0.0000 0.0000  2 Al 2.32
Rh: 0.7500 0.5000 0.5000  2 Al 2.32
Al: 0.5000 0.0000 0.0000  2 Rh 2.32
Al: 0.2500 0.5000 0.5000  2 Rh 2.32
Rb: 0.8065 0.8185 0.3185  2 Rh 3.24
Rb: 0.9435 0.1815 0.6815  2 Rh 3.24
Rb: 0.3750 0.6815 0.8185  2 Rh 3.24
Rb: 0.8750 0.3185 0.1815  2 Rh 3.24

Results
Final energy ... -82.0 eV per formula unit
Energy relative to the elements ... 245.5 meV per atom
Spin magnetization ... 0.000 μB per formula unit
Fermi-level density of states ... 1.65 states/eV/f.u.
Calculated density ... 2.9 g cm⁻³

5.
A PBEsol-optimized structure of RbAl2Ru, computed with SCAN.

Cell lengths 6.3829, 6.3829, 8.0314 Å; angles 113.41, 113.41, 90.00 degrees
Last column: nearest neighbours and their distance in Å.
Atoms (fractional coordinates):
Ru: 0.0000 0.0000 0.0000  4 Al 2.30
Ru: 0.2500 0.7500 0.5000  4 Al 2.30
Al: 0.6250 0.8750 0.7500  2 Ru 2.30
Al: 0.1250 0.8750 0.7500  2 Ru 2.30
Al: 0.1250 0.8750 0.2500  2 Ru 2.30
Al: 0.1250 0.3750 0.2500  2 Ru 2.30
Rb: 0.5000 0.5000 0.0000  8 Al 3.94
Rb: 0.7500 0.2500 0.5000  8 Al 3.94

Results
Final energy ... -70.0 eV per formula unit
Energy relative to the elements ... 260.0 meV per atom
Spin magnetization ... 0.000 μB per formula unit
Fermi-level density of states ... 2.14 states/eV/f.u.
Calculated density ... 3.0 g cm⁻³

6.
A PBEsol-optimized structure of Rb2AlSb, computed with SCAN.

Cell lengths 4.7759, 4.7759, 12.8574 Å; angles 100.70, 100.70, 90.00 degrees
Last column: nearest neighbours and their distance in Å.
Atoms (fractional coordinates):
Sb: 0.2500 0.7500 0.5000  4 Al 3.38, 4 Rb 3.53
Sb: 0.0000 0.0000 0.0000  4 Al 3.38, 4 Rb 3.53
Al: 0.7500 0.2500 0.5000  4 Sb 3.38, 4 Rb 3.53
Al: 0.5000 0.5000 0.0000  4 Sb 3.38, 4 Rb 3.53
Rb: 0.3769 0.8750 0.2500  4 Rb 3.36-3.39, 2 Al 3.53, 2 Sb 3.53
Rb: 0.8731 0.3750 0.2500  4 Rb 3.36-3.39, 2 Al 3.53, 2 Sb 3.53
Rb: 0.1250 0.1269 0.7500  4 Rb 3.36-3.39, 2 Al 3.53, 2 Sb 3.53
Rb: 0.6250 0.6231 0.7500  4 Rb 3.36-3.39, 2 Al 3.53, 2 Sb 3.53

Results
Final energy ... -85.2 eV per formula unit
Spin magnetization ... 0.859 μB per formula unit
Fermi-level density of states ... 1.53 states/eV/f.u.
Calculated density ... 3.8 g cm⁻³

7.
A PBEsol-optimized structure of RbAl3Se, computed with SCAN.

Cell lengths 5.2808, 5.2808, 5.2808 Å; angles 90.00, 90.00, 90.00 degrees
Last column: nearest neighbours and their distance in Å.
Atoms (fractional coordinates):
Rb: 0.5000 0.5000 0.5000  12 Al 3.73
Se: 0.0000 0.0000 0.0000  6 Al 2.64
Al: 0.0000 0.5000 0.0000  2 Se 2.64
Al: 0.0000 0.0000 0.5000  2 Se 2.64
Al: 0.5000 0.0000 0.0000  2 Se 2.64

Results
Final energy ... -61.1 eV per formula unit
Spin magnetization ... 0.000 μB per formula unit
Fermi-level density of states ... 3.17 states/eV/f.u.
Calculated density ... 2.8 g cm⁻³

8.
A PBEsol-optimized structure of RbTiAl2Se, computed with SCAN.

Cell lengths 5.1916, 5.5921, 5.5921 Å; angles 90.00, 90.00, 90.00 degrees
Last column: nearest neighbours and their distance in Å.
Atoms (fractional coordinates):
Al: 0.0000 0.0000 0.5000  2 Rb 2.80
Al: 0.0000 0.5000 0.0000  2 Rb 2.80
Se: 0.5000 0.5000 0.5000  8 Al 3.82, 4 Ti 3.95
Rb: 0.0000 0.0000 0.0000  2 Ti 2.60, 4 Al 2.80
Ti: 0.5000 0.0000 0.0000  2 Rb 2.60

Results
Final energy ... -62.8 eV per formula unit
Spin magnetization ... 3.416 μB per formula unit
Fermi-level density of states ... 3.11 states/eV/f.u.
Calculated density ... 2.7 g cm⁻³

9.
A PBEsol-optimized structure of RbAl2Si2, computed with SCAN.

Cell lengths 4.5407, 4.5407, 6.0125 Å; angles 112.19, 112.19, 90.00 degrees
Last column: nearest neighbours and their distance in Å.
Atoms (fractional coordinates):
Si: 0.3764 0.3764 0.7529  1 Si 2.51, 4 Al 2.61
Si: 0.6236 0.6236 0.2471  1 Si 2.51, 4 Al 2.61
Al: 0.2500 0.7500 0.5000  4 Si 2.61
Al: 0.7500 0.2500 0.5000  4 Si 2.61
Rb: 0.0000 0.0000 0.0000  8 Al 3.41, 8 Si 3.45

Results
Final energy ... -56.0 eV per formula unit
Spin magnetization ... 0.000 μB per formula unit
Fermi-level density of states ... 1.20 states/eV/f.u.
Calculated density ... 3.1 g cm⁻³

10.
A PBEsol-optimized structure of RbAlSi3, computed with SCAN.

Cell lengths 4.9079, 4.9079, 4.9079 Å; angles 90.00, 90.00, 90.00 degrees
Last column: nearest neighbours and their distance in Å.
Atoms (fractional coordinates):
Si: 0.0000 0.5000 0.0000  2 Al 2.45
Si: 0.0000 0.0000 0.5000  2 Al 2.45
Si: 0.5000 0.0000 0.0000  2 Al 2.45
Al: 0.0000 0.0000 0.0000  6 Si 2.45
Rb: 0.5000 0.5000 0.5000  12 Si 3.47

Results
Final energy ... -54.6 eV per formula unit
Spin magnetization ... 0.000 μB per formula unit
Fermi-level density of states ... 2.52 states/eV/f.u.
Calculated density ... 2.8 g cm⁻³

11.
A PBEsol-optimized structure of RbAl2Si2, computed with SCAN.

Cell lengths 4.4467, 4.4467, 6.2915 Å; angles 110.70, 110.70, 90.00 degrees
Last column: nearest neighbours and their distance in Å.
Atoms (fractional coordinates):
Si: 0.2500 0.7500 0.5000  4 Al 2.61
Si: 0.7500 0.2500 0.5000  4 Al 2.61
Al: 0.3751 0.3751 0.7503  4 Si 2.61, 1 Al 2.72
Al: 0.6249 0.6249 0.2497  4 Si 2.61, 1 Al 2.72
Rb: 0.0000 0.0000 0.0000  8 Al 3.43, 8 Si 3.52

Results
Final energy ... -55.7 eV per formula unit
Spin magnetization ... 0.000 μB per formula unit
Fermi-level density of states ... 0.99 states/eV/f.u.
Calculated density ... 3.0 g cm⁻³

12.
A PBEsol-optimized structure of Rb2AlSi, computed with SCAN.

Cell lengths 4.4955, 4.4955, 12.6235 Å; angles 100.26, 100.26, 90.00 degrees
Last column: nearest neighbours and their distance in Å.
Atoms (fractional coordinates):
Si: 0.2500 0.7500 0.5000  4 Al 3.18, 4 Rb 3.44
Si: 0.0000 0.0000 0.0000  4 Al 3.18, 4 Rb 3.44
Al: 0.7500 0.2500 0.5000  4 Si 3.18, 4 Rb 3.44
Al: 0.5000 0.5000 0.0000  4 Si 3.18, 4 Rb 3.44
Rb: 0.8756 0.3750 0.2500  4 Rb 3.18, 2 Si 3.44, 2 Al 3.44
Rb: 0.3744 0.8750 0.2500  4 Rb 3.18, 2 Si 3.44, 2 Al 3.44
Rb: 0.6250 0.6256 0.7500  4 Rb 3.18, 2 Si 3.44, 2 Al 3.44
Rb: 0.1250 0.1244 0.7500  4 Rb 3.18, 2 Si 3.44, 2 Al 3.44

Results
Final energy ... -55.9 eV per formula unit
Spin magnetization ... 0.371 μB per formula unit
Fermi-level density of states ... 2.02 states/eV/f.u.
Calculated density ... 3.0 g cm⁻³